<i>
A plane-wave DFT calculation with PBE-GGA was carried out for AlSnPt3 after structural relaxation.

Cell: 4.6478 4.6478 4.6478 Å, 90.00 90.00 90.00°
Last column: nearest neighbours and their distance in Å.
Space group Pm-3m (No. 221)
Inequivalent atoms, fractional coordinates:
1 Al 0.0000 0.0000 0.0000  6 Pt 2.32
2 Sn 0.5000 0.5000 0.5000  12 Pt 3.29
3 Pt 0.0000 0.0000 0.5000  2 Al 2.32

<ii>
A plane-wave DFT calculation with PBE-GGA was carried out for AlSnPt3 after structural relaxation.

Cell: 4.9402 4.9402 4.9402 Å, 90.00 90.00 90.00°
Last column: nearest neighbours and their distance in Å.
Space group Pm-3m (No. 221)
Inequivalent atoms, fractional coordinates:
1 Al 0.0000 0.0000 0.0000  12 Pt 3.49
2 Sn 0.5000 0.5000 0.5000  6 Pt 2.47
3 Pt 0.0000 0.5000 0.5000  2 Sn 2.47

Stability check: which of them is most stable? <i>.

<i>
A plane-wave DFT calculation with PBE-GGA was carried out for TaAl2Pt2 after structural relaxation.

Cell: 7.4656 7.4656 2.7837 Å, 90.00 90.00 90.00°
Last column: nearest neighbours and their distance in Å.
Space group P4/mbm (No. 127)
Inequivalent atoms, fractional coordinates:
1 Ta 0.0000 0.0000 0.0000  2 Ta 2.78, 4 Al 2.91
2 Al 0.1350 0.3650 0.0000  6 Pt 2.55-2.63, 3 Al 2.78-2.85
3 Pt 0.1628 0.6628 0.5000  6 Al 2.55-2.63, 2 Pt 2.78

<ii>
A plane-wave DFT calculation with PBE-GGA was carried out for TaAl2Pt2 after structural relaxation.

Cell: 3.8780 3.8780 10.9353 Å, 90.00 90.00 90.00°
Last column: nearest neighbours and their distance in Å.
Space group I4/mmm (No. 139)
Inequivalent atoms, fractional coordinates:
1 Ta 0.0000 0.0000 0.0000  8 Al 2.99, 8 Pt 3.35
2 Al 0.0000 0.0000 0.3904  1 Al 2.40, 4 Pt 2.47
3 Pt 0.0000 0.5000 0.2500  4 Al 2.47, 4 Pt 2.74

Stability check: which of them is most stable? <i>.

<i>
A plane-wave DFT calculation with PBE-GGA was carried out for Tb2AlPt after structural relaxation.

Cell: 7.1472 7.1472 7.1472 Å, 90.00 90.00 90.00°
Last column: nearest neighbours and their distance in Å.
Space group Fm-3m (No. 225)
Inequivalent atoms, fractional coordinates:
1 Tb 0.2500 0.2500 0.2500  4 Al 3.09, 4 Pt 3.09
2 Al 0.0000 0.0000 0.0000  8 Tb 3.09
3 Pt 0.0000 0.0000 0.5000  8 Tb 3.09

<ii>
A plane-wave DFT calculation with PBE-GGA was carried out for Tb2AlPt after structural relaxation.

Cell: 3.5908 3.5908 7.0223 Å, 90.00 90.00 90.00°
Last column: nearest neighbours and their distance in Å.
Space group P4/mmm (No. 123)
Inequivalent atoms, fractional coordinates:
1 Tb 0.0000 0.0000 0.2366  4 Pt 3.03, 4 Al 3.14, 1 Tb 3.32
2 Al 0.5000 0.5000 0.5000  8 Tb 3.14, 2 Pt 3.51
3 Pt 0.5000 0.5000 0.0000  8 Tb 3.03

Stability check: which of them is most stable? <ii>.

<i>
A plane-wave DFT calculation with PBE-GGA was carried out for AlTcPt2 after structural relaxation.

Cell: 9.0885 2.7901 4.8063 Å, 90.00 100.42 90.00°
Last column: nearest neighbours and their distance in Å.
Space group C2/m (No. 12)
Inequivalent atoms, fractional coordinates:
1 Al 0.0000 0.0000 0.0000  6 Pt 2.73-2.79, 4 Tc 2.78, 2 Al 2.79
2 Tc 0.0000 0.5000 0.5000  6 Pt 2.72-2.78, 4 Al 2.78, 2 Tc 2.79
3 Pt 0.2460 0.5000 0.2513  3 Tc 2.72-2.78, 3 Al 2.73-2.79, 6 Pt 2.76-2.80

<ii>
A plane-wave DFT calculation with PBE-GGA was carried out for AlTcPt2 after structural relaxation.

Cell: 2.7515 4.4659 4.8466 Å, 90.00 90.00 90.00°
Last column: nearest neighbours and their distance in Å.
Space group Pmm2 (No. 25)
Inequivalent atoms, fractional coordinates:
1 Al 0.0000 0.0000 0.0000  8 Pt 2.71-2.79, 2 Al 2.75, 2 Tc 2.82
2 Tc 0.0000 0.5000 0.3538  8 Pt 2.72-2.80, 2 Tc 2.75, 2 Al 2.82
3 Pt 0.5000 0.0000 0.5008  4 Tc 2.72, 4 Pt 2.75-2.83, 4 Al 2.78-2.79
4 Pt 0.5000 0.5000 0.8579  4 Al 2.71, 4 Pt 2.75-2.83, 4 Tc 2.77-2.80

Stability check: which of them is most stable? <ii>.

<i>
A plane-wave DFT calculation with PBE-GGA was carried out for AlTcPt2 after structural relaxation.

Cell: 5.4790 7.8741 2.7578 Å, 90.00 90.00 90.00°
Last column: nearest neighbours and their distance in Å.
Space group Cmmm (No. 65)
Inequivalent atoms, fractional coordinates:
1 Al 0.0000 0.0000 0.0000  2 Tc 2.74, 2 Al 2.76, 8 Pt 2.77
2 Tc 0.0000 0.5000 0.0000  2 Al 2.74, 2 Tc 2.76, 8 Pt 2.77
3 Pt 0.2500 0.2500 0.5000  4 Pt 2.74-2.76, 4 Tc 2.77, 4 Al 2.77

<ii>
A plane-wave DFT calculation with PBE-GGA was carried out for AlTcPt2 after structural relaxation.

Cell: 2.8327 2.8327 7.4499 Å, 90.00 90.00 90.00°
Last column: nearest neighbours and their distance in Å.
Space group P4mm (No. 99)
Inequivalent atoms, fractional coordinates:
1 Al 0.0000 0.0000 0.0000  4 Pt 2.59, 4 Tc 2.74, 4 Al 2.83
2 Tc 0.5000 0.5000 0.7495  4 Pt 2.68, 4 Al 2.74, 4 Tc 2.83
3 Pt 0.0000 0.0000 0.5103  4 Tc 2.68, 8 Pt 2.83-2.94
4 Pt 0.5000 0.5000 0.2208  4 Al 2.59, 4 Pt 2.83

Stability check: which of them is most stable? <i>.

<i>
A plane-wave DFT calculation with PBE-GGA was carried out for AlTcPt2 after structural relaxation.

Cell: 9.1610 2.7530 4.8630 Å, 90.00 102.90 90.00°
Last column: nearest neighbours and their distance in Å.
Space group Cm (No. 8)
Inequivalent atoms, fractional coordinates:
1 Al 0.0000 0.0000 0.0000  7 Pt 2.59-2.81, 2 Tc 2.68, 2 Al 2.75
2 Tc 0.2350 0.5000 0.2933  7 Pt 2.65-2.82, 2 Al 2.68, 2 Tc 2.75
3 Pt 0.2601 0.0000 0.7993  3 Al 2.59-2.77, 3 Pt 2.75-2.82, 4 Tc 2.78-2.82
4 Pt 0.4901 0.0000 0.4987  3 Tc 2.65-2.70, 5 Pt 2.75-2.92, 4 Al 2.78-2.81

<ii>
A plane-wave DFT calculation with PBE-GGA was carried out for AlTcPt2 after structural relaxation.

Cell: 3.8864 3.8864 7.8901 Å, 90.00 90.00 90.00°
Last column: nearest neighbours and their distance in Å.
Space group I4/mmm (No. 139)
Inequivalent atoms, fractional coordinates:
1 Al 0.0000 0.0000 0.0000  4 Tc 2.75, 8 Pt 2.77
2 Tc 0.0000 0.0000 0.5000  4 Al 2.75, 8 Pt 2.77
3 Pt 0.0000 0.5000 0.2500  4 Pt 2.75, 4 Tc 2.77, 4 Al 2.77

Stability check: which of them is most stable? <i>.